DFT (PBE) results for a relaxed Li2AcNd2In2 crystal.

POSCAR file:
```
Li2AcNd2In2
1.0
-1.254 -3.101 -3.734
1.253 -4.848 0.241
-8.172 -4.547 3.156
Li Ac Nd In
2 1 2 2
direct
0.589 0.589 0.232
0.411 0.411 0.768
0.000 0.000 0.000
0.130 0.130 0.610
0.870 0.870 0.390
0.744 0.744 0.768
0.256 0.256 0.232
```

Summary:
D(E_F) = 0.808 states/eV per atom
Magnetic moment = 0.0 μB/f.u.
Formation energy from the elements = -251 meV/atom
Space-group type = R-3m, No. 166